DFT (PBE-GGA) results for an optimized crystal structure of Sr2HgBi4Rh3.

Properties
E_form ... -3.5 eV/f.u.
Calculated density ... 9.57 Mg/m³
Total magnetic moment ... 0.0 Bohr magnetons per cell
Fermi-level density of states ... 0.71 states/eV/atom

abc: 4.8782 4.8782 11.0820
angles: 90.00 90.00 90.00
Closest atoms and distances in Å follow each position.
Positions (direct):
Sr 0.5000 0.0000 0.2535  8 Bi 3.64-3.72, 2 Hg 3.66, 6 Rh 3.66-3.77
Sr 0.0000 0.5000 0.7465  8 Bi 3.64-3.72, 2 Hg 3.66, 6 Rh 3.66-3.77
Hg 0.5000 0.5000 0.5000  4 Bi 2.91
Bi 0.5000 0.5000 0.0000  4 Rh 2.76
Bi 0.0000 0.0000 0.0000  4 Rh 2.76
Bi 0.5000 0.0000 0.6430  3 Rh 2.67-2.91, 2 Hg 2.91
Bi 0.0000 0.5000 0.3570  3 Rh 2.67-2.91, 2 Hg 2.91
Rh 0.0000 0.0000 0.5000  4 Bi 2.91
Rh 0.5000 0.0000 0.8837  5 Bi 2.67-2.76
Rh 0.0000 0.5000 0.1163  5 Bi 2.67-2.76